Entry from Alexandria via LeMat-Bulk: Cd5In2Bi after structural relaxation (PBE).

- Energy relative to the elements: 74 meV per atom
- V: 25.7 Å³/atom
- Calculated density: 8.08 g/cm³

The structure in CIF format:
```
data_Cd5In2Bi
_chemical_formula_sum 'Cd10 In4 Bi2'
_cell_length_a 7.9783
_cell_length_b 7.9783
_cell_length_c 6.4638
_cell_angle_alpha 90.00
_cell_angle_beta 90.00
_cell_angle_gamma 90.00
_space_group_name_H-M_alt 'I 4 m m'
_space_group_IT_number 107
_space_group_name_Hall 'I 4 -2'
loop_
_atom_site_label
_atom_site_type_symbol
_atom_site_fract_x
_atom_site_fract_y
_atom_site_fract_z
_atom_site_occupancy
Cd1 Cd 0.0000 0.0000 0.0000 1
Cd2 Cd 0.2498 0.2498 0.2500 1
In1 In 0.0000 0.5000 0.0000 1
Bi1 Bi 0.0000 0.0000 0.5007 1
```

***

Entry from Alexandria via LeMat-Bulk: Cd3In4Bi after structural relaxation (PBE).

- Energy relative to the elements: 41 meV per atom
- V: 26.7 Å³/atom
- Calculated density: 7.83 g/cm³

The structure in CIF format:
```
data_Cd3In4Bi
_chemical_formula_sum 'Cd3 In4 Bi1'
_cell_length_a 4.5832
_cell_length_b 5.0530
_cell_length_c 9.2105
_cell_angle_alpha 90.00
_cell_angle_beta 90.00
_cell_angle_gamma 90.00
_space_group_name_H-M_alt 'P m m m'
_space_group_IT_number 47
_space_group_name_Hall '-P 2 2'
loop_
_atom_site_label
_atom_site_type_symbol
_atom_site_fract_x
_atom_site_fract_y
_atom_site_fract_z
_atom_site_occupancy
Cd1 Cd 0.0000 0.0000 0.0000 1
Cd2 Cd 0.5000 0.0000 0.2372 1
In1 In 0.0000 0.5000 0.2464 1
In2 In 0.5000 0.5000 0.0000 1
In3 In 0.5000 0.5000 0.5000 1
Bi1 Bi 0.0000 0.0000 0.5000 1
```

***

Entry from Alexandria via LeMat-Bulk: Cd6In4Bi after structural relaxation (PBE).

- Energy relative to the elements: 69 meV per atom
- V: 26.7 Å³/atom
- Calculated density: 7.58 g/cm³

The structure in CIF format:
```
data_Cd6In4Bi
_chemical_formula_sum 'Cd24 In16 Bi4'
_cell_length_a 5.5964
_cell_length_b 9.5741
_cell_length_c 21.9625
_cell_angle_alpha 90.00
_cell_angle_beta 90.00
_cell_angle_gamma 90.00
_space_group_name_H-M_alt 'C m c m'
_space_group_IT_number 63
_space_group_name_Hall '-C 2c 2'
loop_
_atom_site_label
_atom_site_type_symbol
_atom_site_fract_x
_atom_site_fract_y
_atom_site_fract_z
_atom_site_occupancy
Cd1 Cd 0.0000 0.0000 0.0000 1
Cd2 Cd 0.0000 0.2203 0.1130 1
Cd3 Cd 0.0000 0.2421 0.7500 1
Cd4 Cd 0.0000 0.4694 0.6526 1
In1 In 0.0000 0.1140 0.6260 1
In2 In 0.0000 0.3419 0.5186 1
Bi1 Bi 0.0000 0.0983 0.2500 1
```

***

Entry from Alexandria via LeMat-Bulk: Cd5In12Bi2 after structural relaxation (PBE).

- Energy relative to the elements: 43 meV per atom
- V: 27.4 Å³/atom
- Calculated density: 7.52 g/cm³

The structure in CIF format:
```
data_Cd5In12Bi2
_chemical_formula_sum 'Cd10 In24 Bi4'
_cell_length_a 23.4876
_cell_length_b 9.6104
_cell_length_c 4.6871
_cell_angle_alpha 90.00
_cell_angle_beta 100.01
_cell_angle_gamma 90.00
_space_group_name_H-M_alt 'C 1 2/m 1'
_space_group_IT_number 12
_space_group_name_Hall '-C 2y'
loop_
_atom_site_label
_atom_site_type_symbol
_atom_site_fract_x
_atom_site_fract_y
_atom_site_fract_z
_atom_site_occupancy
Cd1 Cd 0.0000 0.0000 0.0000 1
Cd2 Cd 0.2007 0.5000 0.2051 1
Cd3 Cd 0.2017 0.0000 0.2047 1
In1 In 0.0998 0.0000 0.5989 1
In2 In 0.1018 0.2524 0.0992 1
In3 In 0.1037 0.5000 0.6062 1
In4 In 0.2027 0.2450 0.7058 1
Bi1 Bi 0.0000 0.2663 0.5000 1
```